# 1
The following is a DFT calculation (GGA-PBE) of a relaxed BiBH3 crystal.

a = 3.530 Å, b = 3.530 Å, c = 3.530 Å
α = 90.00°, β = 90.00°, γ = 90.00°
Positions (direct):
Bi 0.000 0.000 0.000
B 0.500 0.500 0.500
H 0.000 0.500 0.500
H 0.500 0.000 0.500
H 0.500 0.500 0.000

Polymorph energy (0 for the lowest one) (eV per atom): 0.000
M_tot (μB/f.u.): 0.0

# 2
The following is a DFT calculation (GGA-PBE) of a relaxed TcAs5 crystal.

a = 5.472 Å, b = 5.472 Å, c = 5.472 Å
α = 60.00°, β = 60.00°, γ = 60.00°
Positions (direct):
Tc 0.000 0.000 0.000
As 0.375 0.375 0.375
As 0.375 0.375 0.875
As 0.375 0.875 0.375
As 0.750 0.750 0.750
As 0.875 0.375 0.375

DFT formation energy (eV/atom): 0.859
Polymorph energy (0 for the lowest one) (eV per atom): 0.807
M_tot (μB/f.u.): 2.5

# 3
The following is a DFT calculation (GGA-PBE) of a relaxed Pa3TaSi7 crystal.

a = 9.574 Å, b = 9.574 Å, c = 11.005 Å
α = 90.00°, β = 90.00°, γ = 156.25°
Positions (direct):
Pa 0.112 0.888 0.552
Pa 0.112 0.888 0.948
Pa 0.235 0.765 0.250
Pa 0.765 0.235 0.750
Pa 0.888 0.112 0.052
Pa 0.888 0.112 0.448
Ta 0.044 0.956 0.250
Ta 0.956 0.044 0.750
Si 0.271 0.729 0.539
Si 0.271 0.729 0.961
Si 0.376 0.624 0.645
Si 0.376 0.624 0.855
Si 0.391 0.609 0.250
Si 0.497 0.503 0.107
Si 0.497 0.503 0.393
Si 0.503 0.497 0.607
Si 0.503 0.497 0.893
Si 0.609 0.391 0.750
Si 0.624 0.376 0.145
Si 0.624 0.376 0.355
Si 0.729 0.271 0.039
Si 0.729 0.271 0.461

Total energy (eV per atom): -7.53
M_tot (μB/f.u.): 0.0

Theoretical density? In order: 8.4, 6.8, 8.8 g cm⁻³.